The following is a DFT calculation (PBE) of MoPtRh2 after structural relaxation.

Unit cell a=2.777 b=10.156 c=8.546 alpha=90.00 beta=90.00 gamma=90.00
Space group Cmcm (No. 63)
One atom of each set of equivalent atoms:
1 Mo 0.000 0.248 0.250
2 Pt 0.000 0.023 0.750
3 Rh 0.000 0.368 0.524

Calculated density = 13.69 Mg/m³
Energy of formation from the pure elements = -0.153 eV per atom
E_tot = -8.047 eV/atom
Energy above the lowest structure with this stoichiometry = 103 meV/atom

***

The following is a DFT calculation (PBE) of Ac2Zn4Cu3Rh after structural relaxation.

Unit cell a=4.409 b=4.409 c=10.140 alpha=90.00 beta=90.00 gamma=90.00
Space group P-4m2 (No. 115)
One atom of each set of equivalent atoms:
1 Ac 0.000 0.500 0.240
2 Zn 0.000 0.000 0.500
3 Zn 0.000 0.500 0.876
4 Zn 0.500 0.500 0.500
5 Cu 0.000 0.000 0.000
6 Cu 0.000 0.500 0.626
7 Rh 0.500 0.500 0.000

Calculated density = 8.50 Mg/m³
Energy of formation from the pure elements = -0.288 eV per atom
E_tot = -3.584 eV/atom

***

The following is a DFT calculation (PBE) of MnNi2PdSe6 after structural relaxation.

Unit cell a=11.677 b=11.127 c=6.339 alpha=90.00 beta=103.49 gamma=90.00
Space group C2/c (No. 15)
One atom of each set of equivalent atoms:
1 Mn 0.000 0.089 0.250
2 Ni 0.180 0.416 0.325
3 Pd 0.000 0.255 0.750
4 Se 0.116 0.080 0.632
5 Se 0.132 0.237 0.146
6 Se 0.145 0.403 0.661

Calculated density = 6.24 Mg/m³
E_form (uncorrected) = -0.261 eV/atom
E_tot = -4.944 eV/atom

***

The following is a DFT calculation (PBE) of Y2CrC after structural relaxation.

Unit cell a=7.064 b=7.064 c=6.627 alpha=90.00 beta=90.00 gamma=90.00
Space group I-42d (No. 122)
One atom of each set of equivalent atoms:
1 Y 0.187 0.750 0.125
2 Cr 0.000 0.000 0.500
3 C 0.000 0.000 0.000

Calculated density = 4.86 Mg/m³
Energy of formation from the pure elements = 0.924 eV per atom
E_tot = -7.020 eV/atom

***

The following is a DFT calculation (PBE) of Zr2PbCl after structural relaxation.

Unit cell a=3.385 b=3.819 c=7.132 alpha=90.00 beta=90.00 gamma=90.00
Space group Pmm2 (No. 25)
One atom of each set of equivalent atoms:
1 Zr 0.000 0.000 0.000
2 Zr 0.500 0.500 0.272
3 Pb 0.500 0.500 0.743
4 Cl 0.000 0.000 0.389

Calculated density = 7.66 Mg/m³
E_form (uncorrected) = -0.412 eV/atom
E_tot = -6.075 eV/atom
Energy above the lowest structure with this stoichiometry = 99 meV/atom

***

The following is a DFT calculation (PBE) of SmTmPd6 after structural relaxation.

Unit cell a=4.143 b=4.143 c=8.233 alpha=90.00 beta=90.00 gamma=90.00
Space group P4/mmm (No. 123)
One atom of each set of equivalent atoms:
1 Sm 0.000 0.000 0.000
2 Tm 0.000 0.000 0.500
3 Pd 0.000 0.500 0.256
4 Pd 0.500 0.500 0.000
5 Pd 0.500 0.500 0.500

Calculated density = 11.25 Mg/m³
Energy of formation from the pure elements = -0.856 eV per atom
E_tot = -5.900 eV/atom